VASP calculation (PBE-GGA) on Tl2ZnH after structural relaxation.

a b c (Å): 4.936 4.936 4.936
angles (deg): 60.00 60.00 60.00
Positions (direct):
Tl (0.250, 0.250, 0.250)
Zn (0.500, 0.500, 0.500)
H (0.000, 0.000, 0.000)
Tl (0.750, 0.750, 0.750)

Properties
**Space group**: No. 225
**Energy relative to the lowest polymorph listed for this composition**: 33 meV per atom

***

VASP calculation (PBE-GGA) on YAlHg2 after structural relaxation.

a b c (Å): 5.912 5.912 5.912
angles (deg): 44.97 44.97 44.97
Positions (direct):
Hg (0.479, 0.479, 0.479)
Al (0.750, 0.750, 0.750)
Y (0.250, 0.250, 0.250)
Hg (0.021, 0.021, 0.021)

Properties
**ΔE_f**: -0.298 eV per atom
**Space group**: No. 166

***

VASP calculation (PBE-GGA) on Pr6Si3Ag after structural relaxation.

a b c (Å): 7.358 8.187 10.085
angles (deg): 90.00 92.86 90.00
Positions (direct):
Pr (0.327, 0.829, 0.429)
Si (0.050, 0.616, 0.241)
Pr (0.301, 0.587, 0.755)
Pr (0.650, 0.182, 0.929)
Pr (0.350, 0.818, 0.071)
Pr (0.673, 0.171, 0.571)
Pr (0.827, 0.671, 0.929)
Pr (0.801, 0.913, 0.255)
Si (0.500, 0.500, 0.000)
Pr (0.850, 0.682, 0.571)
Ag (0.500, 0.500, 0.500)
Pr (0.150, 0.318, 0.429)
Si (0.000, 0.000, 0.500)
Si (0.550, 0.884, 0.741)
Ag (0.000, 0.000, 0.000)
Si (0.950, 0.384, 0.759)
Pr (0.699, 0.413, 0.245)
Si (0.450, 0.116, 0.259)
Pr (0.199, 0.087, 0.745)
Pr (0.173, 0.329, 0.071)

Properties
**Formation energy from raw total energies**: -0.330 eV/atom
**Space group**: No. 14

***

VASP calculation (PBE-GGA) on Tl4RhSe after structural relaxation.

a b c (Å): 6.178 6.178 6.178
angles (deg): 60.00 60.00 60.00
Each line ends with the local moment (μB).
Positions (direct):
Tl (0.375, 0.375, 0.375)  -0.01
Tl (0.375, 0.875, 0.375)  -0.01
Se (0.000, 0.000, 0.000)  0.05
Rh (0.750, 0.750, 0.750)  0.55
Tl (0.875, 0.375, 0.375)  -0.01
Tl (0.375, 0.375, 0.875)  -0.01

Properties
**Formation energy from raw total energies**: 0.563 eV/atom
**Space group**: No. 216

***

VASP calculation (PBE-GGA) on SbHSe2Br after structural relaxation.

a b c (Å): 4.194 4.194 5.726
angles (deg): 90.00 90.00 90.00
Positions (direct):
H (0.000, 0.000, 0.000)
Se (0.500, 0.000, 0.000)
Sb (0.500, 0.500, 0.500)
Br (0.000, 0.000, 0.500)
Se (0.000, 0.500, 0.000)

Properties
**Space group**: No. 123
**Energy relative to the lowest polymorph listed for this composition**: 0 meV per atom

***

VASP calculation (PBE-GGA) on RbYGe2Br8 after structural relaxation.

a b c (Å): 7.377 6.697 9.842
angles (deg): 91.57 87.38 83.94
Positions (direct):
Rb (0.000, 0.000, 0.500)
Br (0.689, 0.776, 0.024)
Br (0.866, 0.273, 0.216)
Br (0.311, 0.224, 0.976)
Y (0.000, 0.000, 0.000)
Br (0.134, 0.727, 0.784)
Br (0.373, 0.262, 0.582)
Br (0.182, 0.776, 0.195)
Br (0.818, 0.224, 0.805)
Br (0.627, 0.738, 0.418)
Ge (0.439, 0.445, 0.789)
Ge (0.561, 0.555, 0.211)

Properties
**Formation energy from raw total energies**: -1.169 eV/atom
**Space group**: No. 2

***

VASP calculation (PBE-GGA) on TaAl2W after structural relaxation.

a b c (Å): 2.763 2.763 8.650
angles (deg): 90.00 90.00 90.00
Positions (direct):
Al (0.000, 0.000, 0.997)
W (0.500, 0.500, 0.762)
Ta (0.000, 0.000, 0.492)
Al (0.500, 0.500, 0.249)

Properties
**ΔE_f**: 0.064 eV per atom
**Space group**: No. 99
**Energy relative to the lowest polymorph listed for this composition**: 214 meV per atom

***

VASP calculation (PBE-GGA) on NpBeTe after structural relaxation.

a b c (Å): 3.436 4.354 9.637
angles (deg): 76.94 90.00 90.00
Positions (direct):
Te (0.250, 0.655, 0.690)
Np (0.250, 0.955, 0.090)
Be (0.750, 0.467, 0.065)
Te (0.750, 0.345, 0.310)
Be (0.250, 0.533, 0.935)
Np (0.750, 0.045, 0.910)

Properties
**Formation energy from raw total energies**: -0.134 eV/atom
**Space group**: No. 63

***

VASP calculation (PBE-GGA) on PrDy2S3 after structural relaxation.

a b c (Å): 3.959 5.629 6.897
angles (deg): 114.08 106.68 90.00
Positions (direct):
Pr (0.000, 0.500, 0.000)
S (0.678, 0.678, 0.355)
Dy (0.661, 0.161, 0.322)
S (0.000, 0.000, 0.000)
Dy (0.339, 0.839, 0.678)
S (0.322, 0.322, 0.645)

Properties
**Formation energy from raw total energies**: -1.993 eV/atom
**Space group**: No. 71

***

VASP calculation (PBE-GGA) on Ce3V2Ge4 after structural relaxation.

a b c (Å): 4.224 6.117 8.244
angles (deg): 106.98 90.00 110.20
Each line ends with the local moment (μB).
Positions (direct):
Ge (0.080, 0.161, 0.398)  0.00
Ge (0.295, 0.590, 0.915)  -0.01
Ge (0.920, 0.839, 0.602)  0.00
V (0.300, 0.600, 0.608)  0.04
Ce (0.378, 0.757, 0.302)  0.10
Ge (0.705, 0.410, 0.085)  -0.01
V (0.700, 0.400, 0.392)  0.04
Ce (0.622, 0.243, 0.698)  0.10
Ce (0.000, 0.000, 0.000)  0.51

Properties
**ΔE_f**: -0.505 eV per atom
**Space group**: No. 12

***

VASP calculation (PBE-GGA) on Nd3ZnBi after structural relaxation.

a b c (Å): 6.565 10.382 10.396
angles (deg): 114.54 90.00 90.00
Positions (direct):
Zn (0.750, 0.099, 0.400)
Bi (0.250, 0.424, 0.576)
Nd (0.500, 0.250, 0.250)
Nd (0.250, 0.129, 0.872)
Bi (0.750, 0.576, 0.424)
Nd (0.000, 0.250, 0.250)
Nd (0.250, 0.067, 0.432)
Nd (0.500, 0.750, 0.750)
Nd (0.750, 0.871, 0.128)
Nd (0.250, 0.629, 0.372)
Nd (0.000, 0.750, 0.750)
Nd (0.750, 0.371, 0.628)
Bi (0.750, 0.076, 0.924)
Zn (0.250, 0.401, 0.100)
Nd (0.750, 0.433, 0.068)
Bi (0.250, 0.924, 0.076)
Nd (0.250, 0.567, 0.932)
Zn (0.750, 0.599, 0.900)
Nd (0.750, 0.933, 0.568)
Zn (0.250, 0.901, 0.600)

Properties
**ΔE_f**: -0.372 eV per atom
**Space group**: No. 11

***

VASP calculation (PBE-GGA) on Er6Tm8Cd after structural relaxation.

a b c (Å): 6.623 9.064 9.064
angles (deg): 120.00 90.00 90.00
Positions (direct):
Tm (0.893, 0.334, 0.018)
Tm (0.107, 0.018, 0.684)
Er (0.601, 0.682, 0.083)
Tm (0.107, 0.666, 0.982)
Er (0.399, 0.318, 0.917)
Tm (0.107, 0.316, 0.334)
Tm (0.187, 0.667, 0.333)
Cd (0.500, 0.000, 0.000)
Tm (0.893, 0.684, 0.666)
Tm (0.813, 0.333, 0.667)
Er (0.399, 0.599, 0.682)
Er (0.399, 0.083, 0.401)
Er (0.601, 0.917, 0.599)
Tm (0.893, 0.982, 0.316)
Er (0.601, 0.401, 0.318)

Properties
**ΔE_f**: 0.237 eV per atom
**Space group**: No. 147

***

- Number 4 is which compound?
  Tl4RhSe